Density functional theory data (GGA+U) for an optimized crystal structure of CrTcSb2F.

It has space group P4/mmm (No. 123), with a = 5.031 Å, b = 5.031 Å, c = 4.932 Å, α = 90.00°, β = 90.00° and γ = 90.00°. The distinct sites, in fractional coordinates, are Cr at (0.000, 0.000, 0.000), Tc at (0.000, 0.000, 0.500), Sb at (0.000, 0.500, 0.500) and F at (0.500, 0.500, 0.000).

As for the crystal system: tetragonal. The total energy is -5.00 eV per atom. The total magnetization is 0.065 Bohr magnetons per cell.